1.
The following is a DFT calculation (PBE) of a geometry-optimized AlOsPb3 structure.

The space group is Pm-3m (No. 221) and the conventional cell measures 5.3010, 5.3010 and 5.3010 Å, with angles of 90.00, 90.00 and 90.00 degrees. The asymmetric unit holds Al at (0.0000, 0.0000, 0.0000), Os at (0.5000, 0.5000, 0.5000) and Pb at (0.0000, 0.5000, 0.5000).

Its crystal system is cubic.



2.
The following is a DFT calculation (PBE) of a geometry-optimized AlOsPb structure.

The space group is Imm2 (No. 44) and the conventional cell measures 3.1619, 3.6719 and 9.6846 Å, with angles of 90.00, 90.00 and 90.00 degrees. The asymmetric unit holds Al at (0.0000, 0.0000, 0.0000), Os at (0.0000, 0.0000, 0.5913) and Pb at (0.0000, 0.0000, 0.2894).

Its crystal system is orthorhombic.



In the order shown, the computed calculated formation energy values come out to 0.686; 0.358 eV/atom.